1.
ScCrSb2Te | SCAN | PBEsol geometry

* ΔE_f (raw): 0.351 eV/atom
* theoretical density: 5.016 g cm⁻³
* space group: P4/mmm, No. 123

abc: 5.3670 5.3732 5.3732
angles: 90.00 90.00 90.00
With the nearest neighbours (Å) after each atom.
Fractional coordinates of all 5 atoms:
Sb: 0.0000 0.5000 0.0000  2 Sc 2.69
Sc: 0.0000 0.0000 0.0000  2 Te 2.68, 4 Sb 2.69
Cr: 0.5000 0.5000 0.5000  8 Sb 3.80, 4 Te 3.80
Sb: 0.0000 0.0000 0.5000  2 Sc 2.69
Te: 0.5000 0.0000 0.0000  2 Sc 2.68

2.
CrSb2Se | SCAN | PBEsol geometry

* ΔE_f (raw): 0.204 eV/atom
* theoretical density: 7.125 g cm⁻³
* space group: Pmmm, No. 47
* relative energy among the computed polymorphs: 5.3 meV/atom

abc: 3.3936 4.9408 5.2053
angles: 90.00 90.00 90.00
With the nearest neighbours (Å) after each atom.
Fractional coordinates of all 4 atoms:
Sb: 0.0000 0.0000 0.0000  4 Se 3.00, 4 Sb 3.11
Sb: 0.5000 0.0000 0.5000  4 Cr 3.00, 4 Sb 3.11
Se: 0.5000 0.5000 0.0000  4 Sb 3.00, 4 Cr 3.11
Cr: 0.0000 0.5000 0.5000  4 Sb 3.00, 4 Se 3.11

3.
CrSb2Se | SCAN | PBEsol geometry

* ΔE_f (raw): 0.199 eV/atom
* theoretical density: 7.646 g cm⁻³
* space group: P4/mmm, No. 123
* relative energy among the computed polymorphs: 0.0 meV/atom

abc: 3.4416 3.4416 6.8663
angles: 90.00 90.00 90.00
With the nearest neighbours (Å) after each atom.
Fractional coordinates of all 4 atoms:
Sb: 0.0000 0.0000 0.7789  4 Cr 2.87, 1 Sb 3.04, 4 Se 3.10
Cr: 0.5000 0.5000 0.0000  8 Sb 2.87
Sb: 0.0000 0.0000 0.2211  4 Cr 2.87, 1 Sb 3.04, 4 Se 3.10
Se: 0.5000 0.5000 0.5000  8 Sb 3.10, 2 Cr 3.43, 4 Se 3.44

4.
Cr2SbSe | SCAN | PBEsol geometry

* ΔE_f (raw): -0.141 eV/atom
* theoretical density: 5.092 g cm⁻³
* space group: I-42d, No. 122
* relative energy among the computed polymorphs: 0.0 meV/atom

abc: 5.6195 5.6195 7.4427
angles: 112.18 112.18 90.00
With the nearest neighbours (Å) after each atom.
Fractional coordinates of all 8 atoms:
Cr: 0.4089 0.8750 0.2500  2 Se 2.43, 2 Sb 2.64
Cr: 0.1250 0.1589 0.7500  2 Se 2.43, 2 Sb 2.64
Sb: 0.0000 0.0000 0.0000  4 Cr 2.64
Se: 0.7500 0.2500 0.5000  4 Cr 2.43
Cr: 0.8411 0.3750 0.2500  2 Se 2.43, 2 Sb 2.64
Se: 0.5000 0.5000 0.0000  4 Cr 2.43
Sb: 0.2500 0.7500 0.5000  4 Cr 2.64
Cr: 0.6250 0.5911 0.7500  2 Se 2.43, 2 Sb 2.64